#w
! Ta4Cl5 PBE-GGA relaxed; values from VASP
! crystal system = hexagonal
&SYSTEM
  ibrav = 0, nat = 18, ntyp = 2
/
ATOMIC_SPECIES
Ta 180.95 Ta.upf
Cl 35.45 Cl.upf
ATOMIC_POSITIONS angstrom
Ta 0.0000 0.0000 0.0000
Ta 0.0000 0.0000 4.6304
Ta -0.8026 1.3901 2.3152
Ta -2.7581 4.7771 6.9456
Ta 1.6051 0.0000 2.3152
Ta 0.8026 1.3901 6.9456
Ta 5.5162 0.0000 6.9456
Ta 2.7581 4.7771 2.3152
Cl -1.4220 2.4630 6.9456
Cl -2.1386 3.7042 2.3152
Cl 0.0000 4.1115 0.0000
Cl 0.0000 4.1115 4.6304
Cl 2.8440 0.0000 6.9456
Cl 1.4220 2.4630 2.3152
Cl 4.2773 0.0000 2.3152
Cl 2.1386 3.7042 6.9456
Cl 3.5606 2.0557 0.0000
Cl 3.5606 2.0557 4.6304
CELL_PARAMETERS angstrom
7.1213 0.0000 0.0000
-3.5606 6.1672 0.0000
0.0000 0.0000 9.2608

#x
! Ta4Cl5 PBE-GGA relaxed; values from VASP
! crystal system = tetragonal
&SYSTEM
  ibrav = 0, nat = 9, ntyp = 2
/
ATOMIC_SPECIES
Ta 180.95 Ta.upf
Cl 35.45 Cl.upf
ATOMIC_POSITIONS angstrom
Ta 2.8862 0.0000 0.0000
Ta 5.3604 0.0000 0.0000
Ta 0.0000 2.8862 0.0000
Ta 0.0000 5.3604 0.0000
Cl 0.0000 0.0000 0.0000
Cl 2.5370 2.5370 0.0000
Cl 1.5863 -1.5863 2.5624
Cl -1.5863 1.5863 2.5624
Cl 1.5863 1.5863 2.5624
CELL_PARAMETERS angstrom
-4.1233 4.1233 2.5624
4.1233 -4.1233 2.5624
4.1233 4.1233 -2.5624

#x has the most favorable energy; the next structure is 33.9 kJ/mol of atoms above.

#w
! TaTcCl2 PBE-GGA relaxed; values from VASP
! crystal system = orthorhombic
&SYSTEM
  ibrav = 0, nat = 8, ntyp = 3
/
ATOMIC_SPECIES
Ta 180.95 Ta.upf
Tc 98.00 Tc.upf
Cl 35.45 Cl.upf
ATOMIC_POSITIONS angstrom
Ta 0.0000 0.0000 0.0000
Ta 1.4434 2.7999 0.0000
Tc 0.0000 0.0000 4.4103
Tc 1.4434 2.7999 4.4103
Cl 0.0000 2.7999 2.0969
Cl 0.0000 2.7999 6.7237
Cl 1.4434 0.0000 2.0969
Cl 1.4434 0.0000 6.7237
CELL_PARAMETERS angstrom
2.8868 0.0000 0.0000
0.0000 5.5998 0.0000
0.0000 0.0000 8.8206

#x
! TaTcCl2 PBE-GGA relaxed; values from VASP
! crystal system = monoclinic
&SYSTEM
  ibrav = 0, nat = 4, ntyp = 3
/
ATOMIC_SPECIES
Ta 180.95 Ta.upf
Tc 98.00 Tc.upf
Cl 35.45 Cl.upf
ATOMIC_POSITIONS angstrom
Ta 0.0000 0.0000 0.0000
Tc 1.6922 0.0000 2.2734
Cl 0.8322 2.1861 1.1448
Cl 2.5522 2.1861 3.4019
CELL_PARAMETERS angstrom
3.4306 0.0000 0.0000
0.0000 4.3723 0.0000
-0.0462 0.0000 4.5467

#y
! TaTcCl2 PBE-GGA relaxed; values from VASP
! crystal system = monoclinic
&SYSTEM
  ibrav = 0, nat = 4, ntyp = 3
/
ATOMIC_SPECIES
Ta 180.95 Ta.upf
Tc 98.00 Tc.upf
Cl 35.45 Cl.upf
ATOMIC_POSITIONS angstrom
Ta 0.0000 0.0000 0.0000
Tc 1.6549 1.5019 7.3016
Cl 0.0020 1.5019 1.9695
Cl 1.6598 0.0000 5.4570
CELL_PARAMETERS angstrom
3.4046 0.0000 0.0000
0.0000 3.0037 0.0000
-0.0482 0.0000 8.7976

#z
! TaTcCl2 PBE-GGA relaxed; values from VASP
! crystal system = tetragonal
&SYSTEM
  ibrav = 0, nat = 4, ntyp = 3
/
ATOMIC_SPECIES
Ta 180.95 Ta.upf
Tc 98.00 Tc.upf
Cl 35.45 Cl.upf
ATOMIC_POSITIONS angstrom
Ta 0.0000 0.0000 0.0000
Tc 0.0000 0.0000 3.0968
Cl 1.5733 1.5733 1.4819
Cl 1.5733 1.5733 4.7117
CELL_PARAMETERS angstrom
3.1467 0.0000 0.0000
0.0000 3.1467 0.0000
0.0000 0.0000 6.1935

#y has the most favorable energy; the next structure is 86.6 kJ/mol of atoms above.

#w
! TaTcCl2 PBE-GGA relaxed; values from VASP
! crystal system = orthorhombic
&SYSTEM
  ibrav = 0, nat = 8, ntyp = 3
/
ATOMIC_SPECIES
Ta 180.95 Ta.upf
Tc 98.00 Tc.upf
Cl 35.45 Cl.upf
ATOMIC_POSITIONS angstrom
Ta 0.0000 0.0000 0.0000
Ta 1.5671 2.1581 7.3059
Tc 0.0000 0.0000 7.3059
Tc 1.5671 2.1581 0.0000
Cl 0.0000 2.1581 5.2740
Cl 0.0000 2.1581 9.3378
Cl 1.5671 0.0000 2.0319
Cl 1.5671 0.0000 12.5800
CELL_PARAMETERS angstrom
3.1343 0.0000 0.0000
0.0000 4.3163 0.0000
0.0000 0.0000 14.6119

#x
! TaTcCl2 PBE-GGA relaxed; values from VASP
! crystal system = tetragonal
&SYSTEM
  ibrav = 0, nat = 16, ntyp = 3
/
ATOMIC_SPECIES
Ta 180.95 Ta.upf
Tc 98.00 Tc.upf
Cl 35.45 Cl.upf
ATOMIC_POSITIONS angstrom
Ta 0.0000 0.0000 0.0000
Ta 0.0000 2.7994 2.4617
Ta 2.7994 0.0000 7.3851
Ta 2.7994 2.7994 4.9234
Tc 0.0000 0.0000 4.9234
Tc 0.0000 2.7994 7.3851
Tc 2.7994 0.0000 2.4617
Tc 2.7994 2.7994 0.0000
Cl 1.3255 1.3997 6.1543
Cl 1.3997 4.1249 8.6160
Cl 1.3997 4.2732 3.6926
Cl 1.4738 1.3997 1.2309
Cl 4.1249 4.1990 1.2309
Cl 4.1990 1.3255 3.6926
Cl 4.1990 1.4738 8.6160
Cl 4.2732 4.1990 6.1543
CELL_PARAMETERS angstrom
5.5987 0.0000 0.0000
0.0000 5.5987 0.0000
0.0000 0.0000 9.8468

#y
! TaTcCl2 PBE-GGA relaxed; values from VASP
! crystal system = tetragonal
&SYSTEM
  ibrav = 0, nat = 8, ntyp = 3
/
ATOMIC_SPECIES
Ta 180.95 Ta.upf
Tc 98.00 Tc.upf
Cl 35.45 Cl.upf
ATOMIC_POSITIONS angstrom
Ta 0.0000 0.0000 0.0000
Ta 2.0495 2.0495 4.0111
Tc 0.0000 0.0000 4.0111
Tc 2.0495 2.0495 0.0000
Cl 0.0000 2.0495 2.0055
Cl 0.0000 2.0495 6.0166
Cl 2.0495 0.0000 2.0055
Cl 2.0495 0.0000 6.0166
CELL_PARAMETERS angstrom
4.0990 0.0000 0.0000
0.0000 4.0990 0.0000
0.0000 0.0000 8.0221

#z
! TaTcCl2 PBE-GGA relaxed; values from VASP
! crystal system = tetragonal
&SYSTEM
  ibrav = 0, nat = 4, ntyp = 3
/
ATOMIC_SPECIES
Ta 180.95 Ta.upf
Tc 98.00 Tc.upf
Cl 35.45 Cl.upf
ATOMIC_POSITIONS angstrom
Ta 0.0000 0.0000 0.0000
Tc 1.4882 1.4882 1.8812
Cl 0.0000 0.0000 3.4974
Cl 1.4882 1.4882 7.0743
CELL_PARAMETERS angstrom
2.9764 0.0000 0.0000
0.0000 2.9764 0.0000
0.0000 0.0000 8.7556

#z has the most favorable energy; the next structure is 20.8 kJ/mol of atoms above.

#w
! TaTcCl2 PBE-GGA relaxed; values from VASP
! crystal system = cubic
&SYSTEM
  ibrav = 0, nat = 16, ntyp = 3
/
ATOMIC_SPECIES
Ta 180.95 Ta.upf
Tc 98.00 Tc.upf
Cl 35.45 Cl.upf
ATOMIC_POSITIONS angstrom
Ta 0.0000 0.0000 0.0000
Ta 0.0000 3.2401 3.2401
Ta 3.2401 0.0000 3.2401
Ta 3.2401 3.2401 0.0000
Tc 1.6200 1.6200 4.8601
Tc 1.6200 4.8601 1.6200
Tc 4.8601 1.6200 1.6200
Tc 4.8601 4.8601 4.8601
Cl 0.0000 0.0000 3.2401
Cl 0.0000 3.2401 0.0000
Cl 1.6200 1.6200 1.6200
Cl 1.6200 4.8601 4.8601
Cl 3.2401 0.0000 0.0000
Cl 3.2401 3.2401 3.2401
Cl 4.8601 1.6200 4.8601
Cl 4.8601 4.8601 1.6200
CELL_PARAMETERS angstrom
6.4802 0.0000 0.0000
0.0000 6.4802 0.0000
0.0000 0.0000 6.4802

#x
! TaTcCl2 PBE-GGA relaxed; values from VASP
! crystal system = trigonal
&SYSTEM
  ibrav = 0, nat = 12, ntyp = 3
/
ATOMIC_SPECIES
Ta 180.95 Ta.upf
Tc 98.00 Tc.upf
Cl 35.45 Cl.upf
ATOMIC_POSITIONS angstrom
Ta 0.0000 0.0000 0.0000
Ta 0.0000 1.7287 21.1153
Ta 1.4971 0.8644 10.5576
Tc 0.0000 0.0000 15.8364
Tc 0.0000 1.7287 5.2788
Tc 1.4971 0.8644 26.3941
Cl 0.0000 0.0000 8.7123
Cl 0.0000 0.0000 22.9606
Cl 0.0000 1.7287 12.4029
Cl 0.0000 1.7287 29.8276
Cl 1.4971 0.8644 1.8453
Cl 1.4971 0.8644 19.2700
CELL_PARAMETERS angstrom
2.9942 0.0000 0.0000
-1.4971 2.5931 0.0000
0.0000 0.0000 31.6729

#y
! TaTcCl2 PBE-GGA relaxed; values from VASP
! crystal system = monoclinic
&SYSTEM
  ibrav = 0, nat = 8, ntyp = 3
/
ATOMIC_SPECIES
Ta 180.95 Ta.upf
Tc 98.00 Tc.upf
Cl 35.45 Cl.upf
ATOMIC_POSITIONS angstrom
Ta 0.0000 0.0000 0.0000
Ta 7.1135 1.5506 0.0000
Tc -0.2119 1.5506 2.1484
Tc 6.9016 0.0000 2.1484
Cl 1.8809 1.5506 0.9101
Cl 4.8088 0.0000 3.3867
Cl 8.9944 0.0000 0.9101
Cl 11.9223 1.5506 3.3867
CELL_PARAMETERS angstrom
14.2270 0.0000 0.0000
0.0000 3.1012 0.0000
-0.4239 0.0000 4.2967

#y has the most favorable energy; the next structure is 43.9 kJ/mol of atoms above.

#w
! TaTcCl2 PBE-GGA relaxed; values from VASP
! crystal system = monoclinic
&SYSTEM
  ibrav = 0, nat = 8, ntyp = 3
/
ATOMIC_SPECIES
Ta 180.95 Ta.upf
Tc 98.00 Tc.upf
Cl 35.45 Cl.upf
ATOMIC_POSITIONS angstrom
Ta 0.0000 0.0000 0.0000
Ta 6.2419 1.5879 0.0000
Tc 4.6350 0.0000 0.7842
Tc 10.8769 1.5879 0.7842
Cl 1.9703 1.5879 0.7603
Cl 4.8127 0.0000 3.1957
Cl 8.2122 0.0000 0.7603
Cl 11.0545 1.5879 3.1957
CELL_PARAMETERS angstrom
12.4838 0.0000 0.0000
0.0000 3.1758 0.0000
-0.8543 0.0000 5.2153

#x
! TaTcCl2 PBE-GGA relaxed; values from VASP
! crystal system = trigonal
&SYSTEM
  ibrav = 0, nat = 12, ntyp = 3
/
ATOMIC_SPECIES
Ta 180.95 Ta.upf
Tc 98.00 Tc.upf
Cl 35.45 Cl.upf
ATOMIC_POSITIONS angstrom
Ta 0.0000 0.0000 0.0000
Ta 0.0000 1.7427 16.8974
Ta 1.5092 0.8714 8.4487
Tc 0.0000 0.0000 12.6731
Tc 0.0000 1.7427 4.2244
Tc 1.5092 0.8714 21.1218
Cl 0.0000 0.0000 10.3080
Cl 0.0000 0.0000 15.0381
Cl 0.0000 1.7427 1.8593
Cl 0.0000 1.7427 6.5894
Cl 1.5092 0.8714 18.7568
Cl 1.5092 0.8714 23.4868
CELL_PARAMETERS angstrom
3.0184 0.0000 0.0000
-1.5092 2.6141 0.0000
0.0000 0.0000 25.3461

#y
! TaTcCl2 PBE-GGA relaxed; values from VASP
! crystal system = orthorhombic
&SYSTEM
  ibrav = 0, nat = 8, ntyp = 3
/
ATOMIC_SPECIES
Ta 180.95 Ta.upf
Tc 98.00 Tc.upf
Cl 35.45 Cl.upf
ATOMIC_POSITIONS angstrom
Ta 0.0000 0.0000 0.0000
Ta 1.6307 2.4777 6.6895
Tc 0.0000 2.4777 8.3970
Tc 1.6307 0.0000 1.7075
Cl 0.0000 0.0000 7.8150
Cl 0.0000 2.4777 4.6309
Cl 1.6307 0.0000 11.3205
Cl 1.6307 2.4777 1.1255
CELL_PARAMETERS angstrom
3.2615 0.0000 0.0000
0.0000 4.9553 0.0000
0.0000 0.0000 13.3791

#z
! TaTcCl2 PBE-GGA relaxed; values from VASP
! crystal system = tetragonal
&SYSTEM
  ibrav = 0, nat = 8, ntyp = 3
/
ATOMIC_SPECIES
Ta 180.95 Ta.upf
Tc 98.00 Tc.upf
Cl 35.45 Cl.upf
ATOMIC_POSITIONS angstrom
Ta 0.0000 0.0000 0.0000
Ta 2.0265 2.0265 4.0079
Tc 0.0000 2.0265 6.0119
Tc 2.0265 0.0000 2.0040
Cl 0.0000 0.0000 4.0079
Cl 0.0000 2.0265 2.0040
Cl 2.0265 0.0000 6.0119
Cl 2.0265 2.0265 0.0000
CELL_PARAMETERS angstrom
4.0529 0.0000 0.0000
0.0000 4.0529 0.0000
0.0000 0.0000 8.0158

#w has the most favorable energy; the next structure is 20.5 kJ/mol of atoms above.

#w
! TaTc2Cl PBE-GGA relaxed; values from VASP
! crystal system = monoclinic
&SYSTEM
  ibrav = 0, nat = 8, ntyp = 3
/
ATOMIC_SPECIES
Ta 180.95 Ta.upf
Tc 98.00 Tc.upf
Cl 35.45 Cl.upf
ATOMIC_POSITIONS angstrom
Ta 0.0000 0.0000 0.0000
Ta 4.9590 1.4887 0.0000
Tc 2.1085 1.4887 0.9855
Tc 2.7370 0.0000 3.3770
Tc 7.0675 0.0000 0.9855
Tc 7.6960 1.4887 3.3770
Cl -0.0568 1.4887 2.1813
Cl 4.9022 0.0000 2.1813
CELL_PARAMETERS angstrom
9.9181 0.0000 0.0000
0.0000 2.9774 0.0000
-0.1136 0.0000 4.3625

#x
! TaTc2Cl PBE-GGA relaxed; values from VASP
! crystal system = cubic
&SYSTEM
  ibrav = 0, nat = 16, ntyp = 3
/
ATOMIC_SPECIES
Ta 180.95 Ta.upf
Tc 98.00 Tc.upf
Cl 35.45 Cl.upf
ATOMIC_POSITIONS angstrom
Ta 0.0000 0.0000 0.0000
Ta 0.0000 3.1619 3.1619
Ta 3.1619 0.0000 3.1619
Ta 3.1619 3.1619 0.0000
Tc 0.0000 0.0000 3.1619
Tc 0.0000 3.1619 0.0000
Tc 1.5810 1.5810 4.7429
Tc 1.5810 4.7429 1.5810
Tc 3.1619 0.0000 0.0000
Tc 3.1619 3.1619 3.1619
Tc 4.7429 1.5810 1.5810
Tc 4.7429 4.7429 4.7429
Cl 1.5810 1.5810 1.5810
Cl 1.5810 4.7429 4.7429
Cl 4.7429 1.5810 4.7429
Cl 4.7429 4.7429 1.5810
CELL_PARAMETERS angstrom
6.3239 0.0000 0.0000
0.0000 6.3239 0.0000
0.0000 0.0000 6.3239

#w has the most favorable energy; the next structure is 37.6 kJ/mol of atoms above.

#w
! TaTc2Cl PBE-GGA relaxed; values from VASP
! crystal system = orthorhombic
&SYSTEM
  ibrav = 0, nat = 4, ntyp = 3
/
ATOMIC_SPECIES
Ta 180.95 Ta.upf
Tc 98.00 Tc.upf
Cl 35.45 Cl.upf
ATOMIC_POSITIONS angstrom
Ta 0.0000 0.0000 0.0000
Tc 1.5016 2.0873 1.1977
Tc 1.5016 2.0873 3.9798
Cl 0.0000 0.0000 2.5888
CELL_PARAMETERS angstrom
3.0031 0.0000 0.0000
0.0000 4.1745 0.0000
0.0000 0.0000 5.1775

#x
! TaTc2Cl PBE-GGA relaxed; values from VASP
! crystal system = orthorhombic
&SYSTEM
  ibrav = 0, nat = 8, ntyp = 3
/
ATOMIC_SPECIES
Ta 180.95 Ta.upf
Tc 98.00 Tc.upf
Cl 35.45 Cl.upf
ATOMIC_POSITIONS angstrom
Ta 0.0000 0.0000 0.0000
Ta 1.4577 2.2601 4.5665
Tc 0.0000 2.2601 2.0814
Tc 0.0000 2.2601 7.0515
Tc 1.4577 0.0000 2.4851
Tc 1.4577 0.0000 6.6479
Cl 0.0000 0.0000 4.5665
Cl 1.4577 2.2601 0.0000
CELL_PARAMETERS angstrom
2.9153 0.0000 0.0000
0.0000 4.5202 0.0000
0.0000 0.0000 9.1329

#x has the most favorable energy; the next structure is 6.0 kJ/mol of atoms above.

#w
! TaTc3Cl PBE-GGA relaxed; values from VASP
! crystal system = cubic
&SYSTEM
  ibrav = 0, nat = 5, ntyp = 3
/
ATOMIC_SPECIES
Ta 180.95 Ta.upf
Tc 98.00 Tc.upf
Cl 35.45 Cl.upf
ATOMIC_POSITIONS angstrom
Ta 0.0000 0.0000 0.0000
Tc 0.0000 2.1670 2.1670
Tc 2.1670 0.0000 2.1670
Tc 2.1670 2.1670 0.0000
Cl 2.1670 2.1670 2.1670
CELL_PARAMETERS angstrom
4.3340 0.0000 0.0000
0.0000 4.3340 0.0000
0.0000 0.0000 4.3340

#x
! TaTc3Cl PBE-GGA relaxed; values from VASP
! crystal system = cubic
&SYSTEM
  ibrav = 0, nat = 5, ntyp = 3
/
ATOMIC_SPECIES
Ta 180.95 Ta.upf
Tc 98.00 Tc.upf
Cl 35.45 Cl.upf
ATOMIC_POSITIONS angstrom
Ta 0.0000 0.0000 0.0000
Tc 0.0000 0.0000 2.4622
Tc 0.0000 2.4622 0.0000
Tc 2.4622 0.0000 0.0000
Cl 2.4622 2.4622 2.4622
CELL_PARAMETERS angstrom
4.9245 0.0000 0.0000
0.0000 4.9245 0.0000
0.0000 0.0000 4.9245

#w has the most favorable energy; the next structure is 98.7 kJ/mol of atoms above.